## Pm3Pr2SmS6 (PBE-GGA)

Data for Pm3Pr2SmS6 after structural relaxation.

a = 7.027 Å, b = 7.027 Å, c = 7.018 Å
α = 99.58°, β = 99.58°, γ = 120.15°
Fractional positions:
Pm 0.831 0.169 0.500
S 0.243 0.243 0.745
Pr 0.667 0.333 0.000
Pm 0.500 0.500 0.500
S 0.413 0.084 0.253
Sm 0.000 0.000 0.000
S 0.757 0.757 0.255
S 0.084 0.413 0.253
Pr 0.333 0.667 0.000
S 0.916 0.587 0.747
S 0.587 0.916 0.747
Pm 0.169 0.831 0.500

Values from the calculation:
- Symmetry: C2/m
- V: 282 Å³ per cell
- Formation energy without anion corrections: -196 kJ/mol of atoms